Below is a relaxed structure of LiPm12Ge7, with properties calculated at the GGA-PBE level.

Cell lengths 14.8196, 14.8196, 9.0511 Å; angles 90.00, 90.00, 120.00 degrees
Space group R-3 (No. 148, hexagonal axes)
Asymmetric unit:
Li 0.0000 0.0000 0.0000 x3
Pm 0.0297 0.5862 0.3105 x18
Pm 0.0467 0.8698 0.2722 x18
Ge 0.0000 0.0000 0.5000 x3
Ge 0.0494 0.8600 0.9218 x18

=====

Below is a relaxed structure of LiPm4Ge2, with properties calculated at the GGA-PBE level.

Cell lengths 5.0698, 5.0698, 26.1743 Å; angles 90.00, 90.00, 120.00 degrees
Space group R-3m (No. 166, hexagonal axes)
Asymmetric unit:
Li 0.0000 0.0000 0.0000 x3
Pm 0.0000 0.0000 0.2103 x6
Pm 0.0000 0.0000 0.3777 x6
Ge 0.0000 0.0000 0.0934 x6

=====

Below is a relaxed structure of LiPm6Ge2, with properties calculated at the GGA-PBE level.

Cell lengths 16.073, 7.347, 4.891 Å; angles 90.00, 107.56, 90.00 degrees
Space group C2/m (No. 12)
Asymmetric unit:
Li 0.000 0.000 0.000 x2
Pm 0.000 0.262 0.500 x4
Pm 0.169 0.250 0.169 x8
Ge 0.167 0.500 0.667 x4

=====

Below is a relaxed structure of LiPm4Ge3, with properties calculated at the GGA-PBE level.

Cell lengths 6.052, 6.052, 6.052 Å; angles 90.00, 90.00, 90.00 degrees
Space group Pm-3m (No. 221)
Asymmetric unit:
Li 0.000 0.000 0.000 x1
Pm 0.000 0.000 0.500 x3
Pm 0.500 0.500 0.500 x1
Ge 0.000 0.500 0.500 x3

=====

Calculated energy of formation from the pure elements in order - -0.443, -0.395, -0.173, -0.389 eV/atom